A geometry-optimized LiDy2Zn3Ga4 structure, computed with GGA-PBE.

Cell: 4.172 4.172 10.614 Å, 90.00 90.00 90.00°
Space group P-4m2 (No. 115)
Unique sites:
Li 0.000 0.000 0.000
Dy 0.000 0.500 0.748
Zn 0.000 0.500 0.360
Zn 0.500 0.500 0.000
Ga 0.000 0.000 0.500
Ga 0.000 0.500 0.133
Ga 0.500 0.500 0.500

Calculated values
The calculation puts the formation energy at -0.41 eV/atom. The value obtained for the energy is -0.114 Ha/atom.

=====

A geometry-optimized SrAl2SiAg structure, computed with GGA-PBE.

Cell: 4.274 4.438 11.099 Å, 90.00 90.00 90.00°
Space group Imm2 (No. 44)
Unique sites:
Sr 0.000 0.000 0.000
Al 0.000 0.000 0.384
Al 0.000 0.500 0.244
Si 0.000 0.000 0.610
Ag 0.000 0.500 0.744

Calculated values
The value obtained for the energy is -0.139 Ha/atom. Its uncorrected formation energy is -1.532 eV per formula unit.

=====

A geometry-optimized AgSbBr3 structure, computed with GGA-PBE.

Cell: 5.300 5.300 5.300 Å, 90.00 90.00 90.00°
Space group Pm-3m (No. 221)
Unique sites:
Ag 0.000 0.000 0.000
Sb 0.500 0.500 0.500
Br 0.000 0.000 0.500

Calculated values
The value obtained for the energy is -0.082 Ha/atom. The energy above the most stable polymorph in this dataset is 538.8 meV/atom. Its uncorrected formation energy is 0.853 eV per formula unit.

=====

A geometry-optimized SrZrSc structure, computed with GGA-PBE.

Cell: 3.4363 3.4363 8.6868 Å, 90.00 90.00 120.00°
Space group P3m1 (No. 156)
Unique sites:
Sr 0.0000 0.0000 0.0000
Zr 0.6667 0.3333 0.3513
Sc 0.3333 0.6667 0.6264

Calculated values
The calculation puts the formation energy at 0.34 eV/atom. The value obtained for the energy is -0.190 Ha/atom. The energy above the most stable polymorph in this dataset is 68.0 meV/atom.

=====

Q: Among the records above, which one has the highest energy?
A: AgSbBr3